# 1
MnP2CO: relaxed, PBE with a Hubbard U.

Unit cell a=4.478 b=4.478 c=3.366 alpha=90.00 beta=90.00 gamma=90.00
Element x y z (fractional)
Mn: 0.000 0.000 0.000
P: 0.000 0.500 0.000
P: 0.500 0.000 0.000
C: 0.500 0.500 0.500
O: 0.000 0.000 0.500

Computed properties:
**ΔE to the lowest computed polymorph**: 655 meV per atom
**SG**: P4/mmm, No. 123

=====

# 2
Tl2CdNi3F12: relaxed, PBE with a Hubbard U.

Unit cell a=6.513 b=6.513 c=6.513 alpha=70.02 beta=70.02 gamma=70.02
Element x y z (fractional)
Tl: 0.099 0.099 0.099
Tl: 0.901 0.901 0.901
Cd: 0.500 0.500 0.500
Ni: 0.000 0.500 0.500
Ni: 0.500 0.000 0.500
Ni: 0.500 0.500 0.000
F: 0.056 0.671 0.671
F: 0.245 0.245 0.616
F: 0.245 0.616 0.245
F: 0.329 0.329 0.944
F: 0.329 0.944 0.329
F: 0.384 0.755 0.755
F: 0.616 0.245 0.245
F: 0.671 0.056 0.671
F: 0.671 0.671 0.056
F: 0.755 0.384 0.755
F: 0.755 0.755 0.384
F: 0.944 0.329 0.329

Computed properties:
**SG**: R-3m, No. 166
**DFT total energy**: -3.95 eV/atom

=====

The records above give, respectively, Fermi-level density of states values of 3.59 0.00 states/eV/cell.